First-principles (PBE with a Hubbard U) data for a geometry-optimized MnZnPO5 structure, as listed in the Alexandria database.

Output
Raw total energy (eV/atom): -6.71

Lattice parameters (Å, degrees): 5.5593 6.9674 8.3414 90.00 41.38 72.18
Element x y z (fractional)
1 Zn 0.4997 0.7355 0.3087
2 Zn 0.4987 0.2355 0.6827
3 Mn 0.4992 0.4854 0.9958
4 Mn 0.4992 0.9855 0.9957
5 O 0.5337 0.4083 0.2359
6 O 0.4656 0.0623 0.2700
7 O 0.4646 0.5626 0.7556
8 O 0.4990 0.7355 0.0814
9 O 0.1343 0.8384 0.6912
10 O 0.8640 0.1324 0.3002
11 O 0.8639 0.6323 0.3266
12 O 0.4993 0.2354 0.9101
13 O 0.1345 0.3386 0.6649
14 O 0.5327 0.9085 0.7215
15 P 0.4989 0.7355 0.6331
16 P 0.4995 0.2354 0.3584